! Er3Si2Ni6, relaxed, DFT PBEsol; values from VASP
&SYSTEM
  ibrav = 0, nat = 22, ntyp = 3
/
ATOMIC_SPECIES
Ni 58.69 Ni.upf
Si 28.09 Si.upf
Er 167.26 Er.upf
ATOMIC_POSITIONS angstrom
Ni 2.4814 3.5093 2.0485
Ni -2.4814 -0.0194 4.0634
Ni 0.8088 4.6920 0.0000
Ni 0.0000 3.4898 2.0149
Ni 0.0000 0.0000 4.0297
Ni -0.8088 2.3460 4.0634
Ni -2.4814 3.5287 2.0149
Ni 3.2902 1.1633 2.0149
Ni 2.4814 0.0195 4.0634
Ni 4.1541 2.3266 0.0000
Ni 0.8088 -2.3460 4.0634
Ni 4.1541 -1.1633 2.0149
Si 1.2407 1.7546 3.0391
Si -1.2407 -1.7546 3.0391
Si -1.2407 3.5093 0.0000
Si 3.7222 0.0000 0.0000
Er 1.4174 -1.0022 1.7359
Er -3.5455 2.5070 4.3423
Er -1.4174 1.0022 1.7359
Er 3.5455 5.0141 0.0000
Er 1.4174 2.0045 0.0000
Er 3.5455 -2.5070 4.3423
CELL_PARAMETERS angstrom
7.4443 0.0000 0.0000
-2.4814 7.0186 0.0000
-2.4814 -3.5093 6.0783
! Final energy, eV per cell: -142.5
! Uncorrected formation energy, meV per atom: -729

! Er3Si3Ni, relaxed, DFT PBEsol; values from VASP
&SYSTEM
  ibrav = 0, nat = 14, ntyp = 3
/
ATOMIC_SPECIES
Er 167.26 Er.upf
Si 28.09 Si.upf
Ni 58.69 Ni.upf
ATOMIC_POSITIONS angstrom
Er 2.0588 1.4486 2.8313
Er 4.1175 3.6733 0.9828
Er 4.1175 3.5914 4.7271
Er 4.1175 1.8065 11.4511
Er 6.1763 4.0312 9.6026
Er 4.1175 1.8885 7.7068
Si 2.0588 1.5358 5.6881
Si 4.1175 4.6706 11.4909
Si 4.1175 0.8092 0.9430
Si 6.1763 4.4344 2.9480
Si 6.1763 3.9440 6.7458
Si 2.0588 1.0454 9.4859
Ni 4.1175 0.6359 4.9994
Ni 4.1175 4.8439 7.4345
CELL_PARAMETERS angstrom
4.1175 0.0000 0.0000
2.0588 5.0653 0.0010
2.0588 0.4145 12.4329
! Final energy, eV per cell: -88.9
! Uncorrected formation energy, meV per atom: -894

! Er2NiSn6, relaxed, DFT PBEsol; values from VASP
&SYSTEM
  ibrav = 0, nat = 9, ntyp = 3
/
ATOMIC_SPECIES
Sn 118.71 Sn.upf
Ni 58.69 Ni.upf
Er 167.26 Er.upf
ATOMIC_POSITIONS angstrom
Sn 4.0045 -0.7714 3.6515
Sn 9.4284 -0.1436 1.5121
Sn 8.9283 -0.8465 4.4412
Sn 1.3442 -1.8648 1.3820
Sn 6.2680 -1.9398 2.1717
Sn 1.2635 1.1146 2.0455
Ni -0.4810 -0.7031 2.9322
Er 6.7890 1.0304 2.9317
Er 3.9029 -0.0595 0.6259
CELL_PARAMETERS angstrom
-0.5425 2.2760 3.5988
-0.4194 -3.6822 2.2655
11.2344 -1.3050 -0.0411
! Energy of formation from the pure elements, eV per atom: -0.51
! Final energy, eV per cell: -46.1

! YErNi2, relaxed, DFT PBEsol; values from VASP
&SYSTEM
  ibrav = 0, nat = 8, ntyp = 3
/
ATOMIC_SPECIES
Y 88.91 Y.upf
Ni 58.69 Ni.upf
Er 167.26 Er.upf
ATOMIC_POSITIONS angstrom
Y 2.0610 1.3524 6.4365
Y -0.0689 1.2463 3.4211
Ni 1.3561 -0.8216 4.7608
Ni -0.7164 -0.8699 1.6509
Ni -0.5175 0.2116 6.0201
Ni 4.0520 2.7795 5.0132
Er -1.1914 -1.9398 4.3211
Er 3.3965 0.6466 3.2839
CELL_PARAMETERS angstrom
-1.7286 3.5064 1.0975
-2.4572 -2.4793 4.0511
5.4143 1.3774 4.1270
! Energy of formation from the pure elements, eV per atom: -0.45
! Final energy, eV per cell: -51.7

! Er2O3, relaxed, DFT PBEsol; values from VASP
&SYSTEM
  ibrav = 0, nat = 5, ntyp = 2
/
ATOMIC_SPECIES
O 16.00 O.upf
Er 167.26 Er.upf
ATOMIC_POSITIONS angstrom
O 0.0000 0.0000 5.7110
O 1.7968 1.0374 2.0222
O 0.0000 2.0747 3.6886
Er 0.0000 2.0747 1.4212
Er 1.7968 1.0374 4.2896
CELL_PARAMETERS angstrom
3.5935 0.0000 0.0000
-1.7968 3.1121 0.0000
0.0000 0.0000 5.7112
! Final energy, eV per cell: -43.8
! Uncorrected formation energy, meV per atom: -3641

! Er2O3, relaxed, DFT PBEsol; values from VASP
&SYSTEM
  ibrav = 0, nat = 40, ntyp = 2
/
ATOMIC_SPECIES
O 16.00 O.upf
Er 167.26 Er.upf
ATOMIC_POSITIONS angstrom
O -3.3247 -5.9358 -1.0823
O -3.9108 -2.2079 3.7909
O 4.0244 -1.7133 1.5361
O 4.3614 -5.1399 1.4208
O -1.7196 -0.3553 3.7094
O 7.4154 -5.0730 1.4718
O 1.7169 -0.1882 3.8857
O 1.9408 -3.6338 1.0540
O 2.1701 -6.9924 1.5023
O -0.0422 -1.9987 6.2301
O 5.2915 0.3056 4.2729
O 3.7752 -1.4119 6.2940
O -1.4903 -3.7140 4.1577
O -3.5739 -5.6345 3.6757
O -1.6447 -4.1279 1.3214
O -0.1328 -1.6921 1.4669
O 2.0952 -3.2198 3.8904
O -4.8409 -7.6534 0.9389
O 5.5357 -3.0526 3.8288
O -1.2663 -7.1596 1.3260
O -5.0851 -4.2952 1.3830
O -6.9648 -2.2747 3.7400
O 0.4927 -5.3491 -1.0184
O 0.5833 -5.6556 3.7449
Er 0.0000 0.0000 0.0000
Er -0.0867 -0.0028 5.2068
Er -3.4033 -3.9411 -0.0588
Er 1.8459 -1.7060 7.4974
Er 2.0570 -5.6338 -2.5729
Er -3.4978 -0.4968 5.1497
Er 1.9327 -1.7031 2.2906
Er 3.9484 -6.8510 0.0620
Er 2.4209 -5.1149 2.6417
Er 0.4428 -3.9006 5.2135
Er 0.0078 -3.4471 -0.0017
Er 3.9406 -3.4038 0.0638
Er -1.6065 -1.7139 7.7847
Er -1.3954 -5.6418 -2.2857
Er -1.4821 -5.6446 2.9211
Er -1.9703 -2.2329 2.5701
CELL_PARAMETERS angstrom
-7.4306 -0.5401 5.0842
0.6240 -7.3421 -5.2018
7.2572 0.5345 5.3294
! Final energy, eV per cell: -352.4
! Uncorrected formation energy, meV per atom: -3690

! Er2O3, relaxed, DFT PBEsol; values from VASP
&SYSTEM
  ibrav = 0, nat = 15, ntyp = 2
/
ATOMIC_SPECIES
Er 167.26 Er.upf
O 16.00 O.upf
ATOMIC_POSITIONS angstrom
Er -3.0401 0.3087 -0.8311
Er -4.8146 5.9374 1.3735
Er -5.1050 2.7827 1.5571
Er -2.7496 3.4634 -1.0147
Er -1.3334 6.6723 0.2363
Er -6.5212 -0.4262 0.3062
O -4.5864 -1.1464 -0.2935
O -3.2692 4.3605 0.9232
O -5.9489 4.4155 -0.0161
O -4.5854 1.8856 -0.3808
O -1.6266 5.3284 -1.4282
O -3.2682 7.3926 0.8360
O -6.2280 0.9177 1.9706
O -1.9058 1.8306 0.5586
O -0.5221 -0.0467 -1.6283
CELL_PARAMETERS angstrom
-1.0442 -0.0934 -3.2565
-5.6723 -2.0341 3.6741
-1.1381 8.3736 0.1249
! Final energy, eV per cell: -131.7
! Uncorrected formation energy, meV per atom: -3661

! ErO, relaxed, DFT PBEsol; values from VASP
&SYSTEM
  ibrav = 0, nat = 4, ntyp = 2
/
ATOMIC_SPECIES
Er 167.26 Er.upf
O 16.00 O.upf
ATOMIC_POSITIONS angstrom
Er 1.9472 1.1242 1.1735
Er 0.0000 2.2485 3.5204
O 0.0000 2.2485 1.1735
O 1.9472 1.1242 3.5204
CELL_PARAMETERS angstrom
3.8945 0.0000 0.0000
-1.9472 3.3727 0.0000
0.0000 0.0000 4.6938
! Final energy, eV per cell: -31.9
! Uncorrected formation energy, meV per atom: -2877

> Look up the final energy of the eighth one.

-31.9 eV per cell

> What is the formula in the second record?

Er3Si3Ni

> What is the formula in the first record?

Er3Si2Ni6

> final energy of number 3 (Er2NiSn6)?

-46.1 eV per cell